Here is a geometry-optimized Tl12Hg5H2 structure from Alexandria. Energies are from GGA-PBE.

Cell: 9.2557 9.2557 9.3076 Å, 93.31 93.31 41.99°
Positions (direct):
Tl 0.0092 0.0092 0.3024
Tl 0.0916 0.5965 0.4557
Tl 0.1052 0.6127 0.0734
Tl 0.3873 0.8948 0.9266
Tl 0.4035 0.9084 0.5443
Tl 0.4636 0.4636 0.8180
Tl 0.5364 0.5364 0.1820
Tl 0.5965 0.0916 0.4557
Tl 0.6127 0.1052 0.0734
Tl 0.8948 0.3873 0.9266
Tl 0.9084 0.4035 0.5443
Tl 0.9908 0.9908 0.6976
Hg 0.1995 0.1995 0.2306
Hg 0.2851 0.2851 0.7634
Hg 0.5000 0.5000 0.5000
Hg 0.7149 0.7149 0.2366
Hg 0.8005 0.8005 0.7694
H 0.2967 0.7033 0.0000
H 0.7033 0.2967 0.0000

Calculated values
calculated density = 10.78 Mg/m³
electronic total energy = -1.82 eV per atom
spin magnetization = 0.00 μB per cell
space group = No. 12
volume = 28.0 Å³ per atom